This record from Alexandria describes RbZnPbI5 after structural relaxation. The functional is PBE.

formation energy (no corrections): -0.825 eV per atom
calculated total energy: -2.537 eV per atom

```
data_RbZnPbI5
_cell_length_a 10.577
_cell_length_b 13.816
_cell_length_c 11.522
_cell_angle_alpha 90.00
_cell_angle_beta 115.09
_cell_angle_gamma 90.00
_symmetry_space_group_name_H-M 'C 1 2/c 1'
_symmetry_Int_Tables_number 15
loop_
_symmetry_equiv_pos_as_xyz
'x,y,z'
'-x,-y,-z'
'-x,y,-z+1/2'
'x,-y,z+1/2'
'x+1/2,y+1/2,z'
'-x+1/2,-y+1/2,-z'
'-x+1/2,y+1/2,-z+1/2'
'x+1/2,-y+1/2,z+1/2'
loop_
_atom_site_label
_atom_site_type_symbol
_atom_site_fract_x
_atom_site_fract_y
_atom_site_fract_z
Rb1 Rb 0.000 0.146 0.250
Zn1 Zn 0.000 0.185 0.750
Pb1 Pb 0.000 0.500 0.000
I1 I 0.000 0.406 0.250
I2 I 0.122 0.287 0.631
I3 I 0.178 0.073 0.936
```



This record from Alexandria describes Nb2CoRe after structural relaxation. The functional is PBE.

calculated total energy: -10.065 eV per atom

```
data_Nb2CoRe
_cell_length_a 3.184
_cell_length_b 3.184
_cell_length_c 6.187
_cell_angle_alpha 90.00
_cell_angle_beta 90.00
_cell_angle_gamma 90.00
_symmetry_space_group_name_H-M 'P 4/m m m'
_symmetry_Int_Tables_number 123
_symmetry_space_group_name_Hall '-P 4 2'
loop_
_atom_site_label
_atom_site_type_symbol
_atom_site_fract_x
_atom_site_fract_y
_atom_site_fract_z
Nb1 Nb 0.000 0.000 0.244
Co1 Co 0.500 0.500 0.000
Re1 Re 0.500 0.500 0.500
```



This record from Alexandria describes CaCuTe4 after structural relaxation. The functional is PBE.

formation energy (no corrections): 0.165 eV per atom
calculated total energy: -2.946 eV per atom

```
data_CaCuTe4
_cell_length_a 9.000
_cell_length_b 9.000
_cell_length_c 9.000
_cell_angle_alpha 90.00
_cell_angle_beta 90.00
_cell_angle_gamma 90.00
_symmetry_space_group_name_H-M 'F -4 3 m'
_symmetry_Int_Tables_number 216
_symmetry_space_group_name_Hall 'F -4 2 3'
loop_
_atom_site_label
_atom_site_type_symbol
_atom_site_fract_x
_atom_site_fract_y
_atom_site_fract_z
Ca1 Ca 0.000 0.000 0.000
Cu1 Cu 0.250 0.250 0.750
Te1 Te 0.124 0.124 0.376
```



This record from Alexandria describes TaCrPt2 after structural relaxation. The functional is PBE.

excess energy over the best structure of this formula in the dataset: 0.231 eV per atom
calculated total energy: -8.653 eV per atom

```
data_TaCrPt2
_cell_length_a 6.305
_cell_length_b 6.305
_cell_length_c 6.305
_cell_angle_alpha 90.00
_cell_angle_beta 90.00
_cell_angle_gamma 90.00
_symmetry_space_group_name_H-M 'F -4 3 m'
_symmetry_Int_Tables_number 216
_symmetry_space_group_name_Hall 'F -4 2 3'
loop_
_atom_site_label
_atom_site_type_symbol
_atom_site_fract_x
_atom_site_fract_y
_atom_site_fract_z
Ta1 Ta 0.000 0.000 0.000
Cr1 Cr 0.250 0.250 0.750
Pt1 Pt 0.000 0.000 0.500
Pt2 Pt 0.250 0.250 0.250
```



| no. | DOS at the Fermi energy (states/eV per cell) |
| --- | --- |
| 1 | 0.00 |
| 2 | 2.53 |
| 3 | 13.08 |
| 4 | 3.09 |